Record 1
Below is a relaxed structure of NaNdSi6O14, with properties calculated at the PBE level.

abc: 7.752 13.231 13.231
angles: 72.26 72.97 72.97
Fractional coordinates of all 88 atoms:
Na: 0.250 0.750 0.750
Na: 0.000 0.500 0.500
Na: 0.750 0.250 0.250
Na: 0.500 0.000 0.000
Nd: 0.250 0.978 0.522
Nd: 0.750 0.022 0.478
Nd: 0.750 0.478 0.022
Nd: 0.250 0.522 0.978
Si: 0.299 0.472 0.233
Si: 0.885 0.932 0.775
Si: 0.701 0.528 0.767
Si: 0.615 0.725 0.568
Si: 0.732 0.334 0.666
Si: 0.504 0.028 0.267
Si: 0.908 0.432 0.275
Si: 0.092 0.568 0.725
Si: 0.201 0.267 0.028
Si: 0.408 0.775 0.932
Si: 0.768 0.834 0.166
Si: 0.115 0.068 0.225
Si: 0.678 0.634 0.366
Si: 0.592 0.225 0.068
Si: 0.268 0.666 0.334
Si: 0.496 0.972 0.733
Si: 0.822 0.134 0.866
Si: 0.322 0.366 0.634
Si: 0.004 0.767 0.528
Si: 0.232 0.166 0.834
Si: 0.385 0.275 0.432
Si: 0.799 0.733 0.972
Si: 0.178 0.866 0.134
Si: 0.996 0.233 0.472
O: 0.732 0.810 0.061
O: 0.414 0.799 0.565
O: 0.691 0.643 0.484
O: 0.427 0.507 0.115
O: 0.954 0.310 0.355
O: 0.183 0.484 0.643
O: 0.950 0.115 0.507
O: 0.109 0.464 0.204
O: 0.119 0.190 0.145
O: 0.531 0.363 0.637
O: 0.768 0.439 0.690
O: 0.073 0.385 0.993
O: 0.450 0.007 0.615
O: 0.031 0.137 0.863
O: 0.469 0.637 0.363
O: 0.268 0.190 0.939
O: 0.586 0.201 0.435
O: 0.603 0.939 0.190
O: 0.969 0.863 0.137
O: 0.086 0.935 0.701
O: 0.758 0.730 0.270
O: 0.619 0.645 0.690
O: 0.881 0.810 0.855
O: 0.309 0.357 0.516
O: 0.683 0.143 0.984
O: 0.222 0.565 0.799
O: 0.777 0.796 0.536
O: 0.573 0.493 0.885
O: 0.258 0.770 0.230
O: 0.817 0.516 0.357
O: 0.546 0.145 0.190
O: 0.809 0.016 0.857
O: 0.242 0.270 0.730
O: 0.723 0.964 0.704
O: 0.191 0.984 0.143
O: 0.550 0.993 0.385
O: 0.278 0.701 0.935
O: 0.609 0.704 0.964
O: 0.927 0.615 0.007
O: 0.722 0.299 0.065
O: 0.897 0.310 0.561
O: 0.103 0.690 0.439
O: 0.891 0.536 0.796
O: 0.050 0.885 0.493
O: 0.223 0.204 0.464
O: 0.232 0.561 0.310
O: 0.397 0.061 0.810
O: 0.778 0.435 0.201
O: 0.914 0.065 0.299
O: 0.317 0.857 0.016
O: 0.742 0.230 0.770
O: 0.381 0.355 0.310
O: 0.391 0.296 0.036
O: 0.277 0.036 0.296
O: 0.046 0.690 0.645
O: 0.454 0.855 0.810

Results
Total magnetization, Bohr magnetons per cell: 0.0
SG: No. 72
Formation energy from raw total energies, eV/atom: -2.840
Total energy, eV/atom: -7.7508

=====

Record 2
Below is a relaxed structure of NaNd9Si6O26, with properties calculated at the PBE level.

abc: 9.630 9.630 7.106
angles: 90.00 90.00 120.00
Fractional coordinates of all 42 atoms:
Na: 0.667 0.333 0.491
Nd: 0.000 0.000 0.001
Nd: 0.000 0.000 0.501
Nd: 0.667 0.333 0.994
Nd: 0.575 0.675 0.748
Nd: 0.325 0.899 0.748
Nd: 0.101 0.425 0.748
Nd: 0.088 0.654 0.252
Nd: 0.346 0.433 0.252
Nd: 0.567 0.912 0.252
Si: 0.364 0.295 0.749
Si: 0.705 0.069 0.749
Si: 0.931 0.636 0.749
Si: 0.304 0.037 0.247
Si: 0.963 0.268 0.247
Si: 0.732 0.696 0.247
O: 0.408 0.423 0.575
O: 0.577 0.985 0.575
O: 0.015 0.592 0.575
O: 0.231 0.917 0.062
O: 0.083 0.314 0.062
O: 0.686 0.769 0.062
O: 0.239 0.918 0.433
O: 0.082 0.321 0.433
O: 0.679 0.761 0.433
O: 0.427 0.411 0.938
O: 0.589 0.016 0.938
O: 0.984 0.573 0.938
O: 0.167 0.176 0.751
O: 0.824 0.992 0.751
O: 0.008 0.833 0.751
O: 0.497 0.144 0.240
O: 0.856 0.353 0.240
O: 0.647 0.503 0.240
O: 0.333 0.667 0.772
O: 0.333 0.667 0.253
O: 0.457 0.193 0.749
O: 0.807 0.264 0.749
O: 0.736 0.543 0.749
O: 0.206 0.137 0.253
O: 0.863 0.069 0.253
O: 0.931 0.794 0.253

Results
Total magnetization, Bohr magnetons per cell: 0.0
SG: No. 143
Formation energy from raw total energies, eV/atom: -3.202
Total energy, eV/atom: -8.0993

=====

Record 3
Below is a relaxed structure of Na4Nd3SiO8, with properties calculated at the PBE level.

abc: 6.839 6.882 6.838
angles: 119.81 120.00 90.00
Fractional coordinates of all 16 atoms:
Na: 0.500 0.000 0.000
Na: 0.500 0.000 0.500
Na: 0.000 0.000 0.000
Na: 0.000 0.000 0.500
Nd: 0.500 0.500 0.000
Nd: 0.500 0.500 0.500
Nd: 0.000 0.500 0.500
Si: 0.000 0.500 0.000
O: 0.197 0.689 0.991
O: 0.198 0.689 0.395
O: 0.256 0.269 0.513
O: 0.794 0.689 0.991
O: 0.206 0.311 0.009
O: 0.744 0.731 0.487
O: 0.802 0.311 0.605
O: 0.803 0.311 0.009

Results
Total magnetization, Bohr magnetons per cell: 0.0
SG: No. 166
Formation energy from raw total energies, eV/atom: -2.317
Total energy, eV/atom: -6.3587